# 1
Entry from the Alexandria database: a crystal of MnRhAu2 relaxed with PBEsol (meta-GGA SCAN).

The structure belongs to space group I4/mmm (No. 139); the cell edges are 3.882, 3.882 and 8.033 Å and the angles 90.00°, 90.00° and 90.00°. The asymmetric unit holds Mn at (0.000, 0.000, 0.000), Rh at (0.000, 0.000, 0.500) and Au at (0.000, 0.500, 0.250).

The total magnetic moment comes out at 9.14 μB/cell. The calculation puts the formation energy at -0.2434 eV/atom.


# 2
Entry from the Alexandria database: a crystal of Mn2RhAu relaxed with PBEsol (meta-GGA SCAN).

The structure belongs to space group F-43m (No. 216); the cell edges are 6.126, 6.126 and 6.126 Å and the angles 90.00°, 90.00° and 90.00°. The asymmetric unit holds Mn at (0.000, 0.000, 0.000), Mn at (0.250, 0.250, 0.250), Rh at (0.250, 0.250, 0.750) and Au at (0.000, 0.000, 0.500).

The total magnetic moment comes out at 33.96 μB/cell. The calculation puts the formation energy at -0.2283 eV/atom.


# 3
Entry from the Alexandria database: a crystal of MnRu2Au relaxed with PBEsol (meta-GGA SCAN).

The structure belongs to space group R-3m (No. 166, hexagonal axes); the cell edges are 2.6721, 2.6721 and 26.3541 Å and the angles 90.00°, 90.00° and 120.00°. The asymmetric unit holds Mn at (0.0000, 0.0000, 0.0000), Ru at (0.0000, 0.0000, 0.2590) and Au at (0.0000, 0.0000, 0.5000).

The total magnetic moment comes out at 5.73 μB/cell. The calculation puts the formation energy at 0.1494 eV/atom.


# 4
Entry from the Alexandria database: a crystal of MnRuAu2 relaxed with PBEsol (meta-GGA SCAN).

The structure belongs to space group Fm-3m (No. 225); the cell edges are 6.273, 6.273 and 6.273 Å and the angles 90.00°, 90.00° and 90.00°. The asymmetric unit holds Mn at (0.000, 0.000, 0.000), Ru at (0.000, 0.000, 0.500) and Au at (0.250, 0.250, 0.250).

The total magnetic moment comes out at 19.38 μB/cell. As for the energy relative to the lowest polymorph listed for this composition: 9.69 kJ per mole of atoms. The calculation puts the formation energy at 0.0928 eV/atom.


# 5
Entry from the Alexandria database: a crystal of MnRuAu2 relaxed with PBEsol (meta-GGA SCAN).

The structure belongs to space group I-4m2 (No. 119); the cell edges are 3.940, 3.940 and 7.700 Å and the angles 90.00°, 90.00° and 90.00°. The asymmetric unit holds Mn at (0.000, 0.000, 0.000), Ru at (0.000, 0.500, 0.250), Au at (0.000, 0.000, 0.500) and Au at (0.000, 0.500, 0.750).

The total magnetic moment comes out at 5.81 μB/cell. As for the energy relative to the lowest polymorph listed for this composition: 0.00 kJ per mole of atoms. The calculation puts the formation energy at -0.0076 eV/atom.


# 6
Entry from the Alexandria database: a crystal of MnRuAu2 relaxed with PBEsol (meta-GGA SCAN).

The structure belongs to space group R3m (No. 160, hexagonal axes); the cell edges are 2.7945, 2.7945 and 26.6566 Å and the angles 90.00°, 90.00° and 120.00°. The asymmetric unit holds Mn at (0.0000, 0.0000, 0.0000), Ru at (0.0000, 0.0000, 0.7366), Au at (0.0000, 0.0000, 0.2515) and Au at (0.0000, 0.0000, 0.4920).

The total magnetic moment comes out at 9.60 μB/cell. As for the energy relative to the lowest polymorph listed for this composition: 1.88 kJ per mole of atoms. The calculation puts the formation energy at 0.0119 eV/atom.


Look up the total magnetic moment of the second one. 33.96 μB/cell


What did the third record say?
Entry from the Alexandria database: a crystal of MnRu2Au relaxed with PBEsol (meta-GGA SCAN).

The structure belongs to space group R-3m (No. 166, hexagonal axes); the cell edges are 2.6721, 2.6721 and 26.3541 Å and the angles 90.00°, 90.00° and 120.00°. The asymmetric unit holds Mn at (0.0000, 0.0000, 0.0000), Ru at (0.0000, 0.0000, 0.2590) and Au at (0.0000, 0.0000, 0.5000).

The total magnetic moment comes out at 5.73 μB/cell. The calculation puts the formation energy at 0.1494 eV/atom.